Entry from Alexandria via LeMat-Bulk: a geometry-optimized LaTb6Al6 structure (PBE-GGA).

Values from the calculation:
ΔH_f (0 K) = -327 meV/atom
E_tot = -0.3360 Ry per atom

Lattice parameters (Å, degrees): 5.9318 10.2879 10.6504 90.00 90.00 90.00
Space group Immm (No. 71)
Symmetry-distinct sites (fractional):
La1 0.0000 0.0000 0.0000 x2
Tb1 0.0000 0.0000 0.3352 x4
Tb2 0.0000 0.3190 0.5000 x4
Tb3 0.0000 0.3465 0.0000 x4
Al1 0.0000 0.5000 0.2632 x4
Al2 0.2500 0.2500 0.2500 x8

Entry from Alexandria via LeMat-Bulk: a geometry-optimized KFeHg3 structure (PBE-GGA).

Values from the calculation:
ΔH_f (0 K) = 952 meV/atom
polymorph energy (0 for the lowest one) = 0.8506 eV/atom
E_tot = -0.0839 Ry per atom

Lattice parameters (Å, degrees): 6.4790 6.4790 6.4790 90.00 90.00 90.00
Space group Pm-3m (No. 221)
Symmetry-distinct sites (fractional):
K1 0.0000 0.0000 0.0000 x1
Fe1 0.5000 0.5000 0.5000 x1
Hg1 0.0000 0.0000 0.5000 x3

Entry from Alexandria via LeMat-Bulk: a geometry-optimized CaLa2Ga3Pt4 structure (PBE-GGA).

Values from the calculation:
ΔH_f (0 K) = -941 meV/atom
E_tot = -0.4006 Ry per atom

Lattice parameters (Å, degrees): 4.2601 4.2601 11.6528 90.00 90.00 90.00
Space group P-4m2 (No. 115)
Symmetry-distinct sites (fractional):
Ca1 0.0000 0.0000 0.0000 x1
La1 0.0000 0.5000 0.7310 x2
Ga1 0.0000 0.5000 0.3787 x2
Ga2 0.5000 0.5000 0.0000 x1
Pt1 0.0000 0.0000 0.5000 x1
Pt2 0.0000 0.5000 0.1609 x2
Pt3 0.5000 0.5000 0.5000 x1

Entry from Alexandria via LeMat-Bulk: a geometry-optimized CdHgS2 structure (PBE-GGA).

Values from the calculation:
E_form (uncorrected) = -0.291 eV/atom
polymorph energy (0 for the lowest one) = 0.0920 eV/atom
E_tot = -0.1954 Ry per atom

Lattice parameters (Å, degrees): 4.1649 4.1649 21.8555 90.00 90.00 120.00
Space group R-3m (No. 166, hexagonal axes)
Symmetry-distinct sites (fractional):
Cd1 0.0000 0.0000 0.0000 x3
Hg1 0.0000 0.0000 0.5000 x3
S1 0.0000 0.0000 0.3928 x6

Entry from Alexandria via LeMat-Bulk: a geometry-optimized KRb2Ba structure (PBE-GGA).

Values from the calculation:
ΔH_f (0 K) = 210 meV/atom
polymorph energy (0 for the lowest one) = 0.1456 eV/atom
E_tot = -0.0756 Ry per atom

Lattice parameters (Å, degrees): 11.9417 11.9417 9.1059 90.00 90.00 90.00
Space group I-42d (No. 122)
Symmetry-distinct sites (fractional):
K1 0.0000 0.0000 0.0000 x4
Rb1 0.2264 0.7500 0.1250 x8
Ba1 0.0000 0.0000 0.5000 x4

Entry from Alexandria via LeMat-Bulk: a geometry-optimized La3Ce2HoS6 structure (PBE-GGA).

Values from the calculation:
E_form (uncorrected) = -2.091 eV/atom
E_tot = -0.4967 Ry per atom

Lattice parameters (Å, degrees): 7.0304 12.1872 7.0700 90.00 109.47 90.00
Space group C2/m (No. 12)
Symmetry-distinct sites (fractional):
La1 0.0000 0.0000 0.0000 x2
La2 0.0000 0.3317 0.0000 x4
Ce1 0.0000 0.1662 0.5000 x4
Ho1 0.0000 0.5000 0.5000 x2
S1 0.2416 0.3368 0.7360 x8
S2 0.2466 0.5000 0.2619 x4

Entry from Alexandria via LeMat-Bulk: a geometry-optimized Cs4Tl4Pb structure (PBE-GGA).

Values from the calculation:
ΔH_f (0 K) = -93 meV/atom
E_tot = -0.1423 Ry per atom

Lattice parameters (Å, degrees): 11.4089 11.4089 7.1534 90.00 90.00 90.00
Space group P4_2/n (No. 86, origin choice 2)
Symmetry-distinct sites (fractional):
Cs1 0.0573 0.8288 0.1023 x8
Tl1 0.1009 0.1948 0.3862 x8
Pb1 0.2500 0.2500 0.7500 x2

Entry from Alexandria via LeMat-Bulk: a geometry-optimized ZnCoTe2 structure (PBE-GGA).

Values from the calculation:
E_form (uncorrected) = 0.701 eV/atom
E_tot = -0.2179 Ry per atom

Lattice parameters (Å, degrees): 7.0054 7.0054 7.0054 90.00 90.00 90.00
Space group F-43m (No. 216)
Symmetry-distinct sites (fractional):
Zn1 0.0000 0.0000 0.0000 x4
Co1 0.2500 0.2500 0.2500 x4
Te1 0.0000 0.0000 0.5000 x4
Te2 0.2500 0.2500 0.7500 x4